1.
Ba2MnS3, optimized geometry, DFT GGA-PBE; uncorrected formation energy = -1613 meV/atom; final energy = -5.85 eV per atom
1.0
4.3520 0.0000 0.0000
0.0000 8.9026 0.0000
0.0000 0.0000 17.1999
Ba S Mn
8 12 4
direct
0.7500 0.2452 0.0433
0.2500 0.9170 0.2143
0.7500 0.7452 0.4567
0.2500 0.7548 0.9567
0.2500 0.2548 0.5433
0.7500 0.0830 0.7857
0.7500 0.5830 0.7143
0.2500 0.4170 0.2857
0.2500 0.1310 0.9271
0.2500 0.8219 0.7705
0.7500 0.1781 0.2295
0.7500 0.8690 0.0729
0.7500 0.4944 0.8984
0.7500 0.3690 0.4271
0.7500 0.6781 0.2705
0.2500 0.0056 0.3984
0.2500 0.5056 0.1016
0.2500 0.3219 0.7295
0.2500 0.6310 0.5729
0.7500 0.9944 0.6016
0.7500 0.6284 0.1336
0.2500 0.8716 0.6336
0.7500 0.1284 0.3664
0.2500 0.3716 0.8664


2.
ScTeBrN2, optimized geometry, DFT GGA-PBE; offset from the most stable computed form = 0.845 eV per atom; uncorrected formation energy = 1530 meV/atom; final energy = -4.03 eV per atom
1.0
-2.6243 -3.1808 0.7225
3.1966 -2.6924 -0.2427
0.8314 0.5118 5.2727
Sc Br Te N
1 1 1 2
direct
0.5000 0.5000 0.5000
0.0000 0.0000 0.0000
0.0000 0.0000 0.5000
0.5000 0.0000 0.0000
0.0000 0.5000 0.0000


3.
HgPt2Cl, optimized geometry, DFT GGA-PBE; offset from the most stable computed form = 0.140 eV per atom; uncorrected formation energy = 249 meV/atom; final energy = -3.31 eV per atom
1.0
3.1927 0.0000 0.0000
0.0000 3.2343 0.0000
0.0000 0.0000 7.4047
Cl Pt Hg
1 2 1
direct
0.0000 0.0000 0.4668
0.5000 0.5000 0.2259
0.0000 0.0000 0.0214
0.5000 0.5000 0.7859


4.
Y3ZrIr4, optimized geometry, DFT GGA-PBE; energy of formation = -795 meV per atom; final energy = -8.72 eV per atom
1.0
3.3481 0.0000 0.0000
0.0000 3.3481 0.0000
0.0000 0.0000 14.1143
Ir Zr Y
4 1 3
direct
0.0000 0.0000 0.1101
0.0000 0.0000 0.6285
0.0000 0.0000 0.3715
0.0000 0.0000 0.8899
0.5000 0.5000 0.0000
0.5000 0.5000 0.2459
0.5000 0.5000 0.7541
0.5000 0.5000 0.5000


5.
Nd3Er2Se8, optimized geometry, DFT GGA-PBE; uncorrected formation energy = -1656 meV/atom; final energy = -5.60 eV per atom
1.0
-5.2551 4.4311 -1.9237
1.2336 -2.0247 -8.0336
-3.2798 -5.6103 5.2770
Nd Se Er
3 8 2
direct
0.0000 0.7370 0.0000
0.0000 0.2630 0.0000
0.5000 0.0000 0.0000
0.4186 0.3674 0.2575
0.8859 0.6183 0.2366
0.4186 0.8901 0.2575
0.1141 0.3817 0.7634
0.5814 0.6326 0.7425
0.0662 0.8765 0.7529
0.5814 0.1099 0.7425
0.9338 0.1235 0.2471
0.3408 0.2574 0.5149
0.6592 0.7426 0.4851


6.
SrTi3Zn, optimized geometry, DFT GGA-PBE; energy of formation = 1901 meV per atom; offset from the most stable computed form = 1.152 eV per atom; final energy = -3.43 eV per atom
1.0
4.7530 0.0000 0.0000
0.0000 4.7530 0.0000
0.0000 0.0000 4.7530
Zn Ti Sr
1 3 1
direct
0.5000 0.5000 0.5000
0.0000 0.5000 0.0000
0.0000 0.0000 0.5000
0.5000 0.0000 0.0000
0.0000 0.0000 0.0000


7.
LiCd2Rh, optimized geometry, DFT GGA-PBE; energy of formation = 141 meV per atom; offset from the most stable computed form = 0.414 eV per atom; final energy = -2.63 eV per atom
1.0
-3.7802 -1.3537 0.2193
0.8953 -2.9234 -2.6120
1.0024 -7.8028 5.9812
Cd Rh Li
4 2 2
direct
0.8750 0.8786 0.7500
0.1214 0.6250 0.2500
0.6286 0.1250 0.2500
0.3750 0.3714 0.7500
0.0000 0.0000 0.0000
0.7500 0.2500 0.5000
0.5000 0.5000 0.0000
0.2500 0.7500 0.5000


8.
MgCd5Pb2, optimized geometry, DFT GGA-PBE; energy of formation = 16 meV per atom; final energy = -1.68 eV per atom
1.0
-2.7751 2.0887 -3.1660
2.7842 -3.5480 -4.7812
-8.9123 -9.2751 1.6928
Cd Pb Mg
10 4 2
direct
0.5000 0.2466 0.8732
0.5000 0.7466 0.6268
0.5000 0.2534 0.3732
0.0000 0.0084 0.2533
0.0000 0.5084 0.2467
0.0000 0.5000 0.5000
0.0000 0.4916 0.7533
0.0000 0.0000 0.0000
0.5000 0.7534 0.1268
0.0000 0.9916 0.7467
0.5000 0.2542 0.1224
0.5000 0.7542 0.3776
0.5000 0.2458 0.6224
0.5000 0.7458 0.8776
0.0000 0.5000 0.0000
0.0000 0.0000 0.5000


9.
SrLiGaAg, optimized geometry, DFT GGA-PBE; energy of formation = -290 meV per atom; final energy = -2.66 eV per atom
1.0
4.5562 0.0000 0.0000
-2.2781 3.9488 0.0010
0.0000 -2.6248 5.4829
Ga Sr Li Ag
1 1 1 1
direct
0.1240 0.2479 0.0143
0.6120 0.2240 0.4778
0.4191 0.8383 0.8995
0.8112 0.6224 0.0758


10.
CeNdOs, optimized geometry, DFT GGA-PBE; energy of formation = -42 meV per atom; offset from the most stable computed form = 0.072 eV per atom; final energy = -7.35 eV per atom
1.0
4.8788 0.0000 0.0000
2.4394 4.2252 0.0000
2.4394 1.4084 3.9836
Ce Nd Os
1 1 1
direct
0.5000 0.5000 0.5000
0.0000 0.0000 0.0000
0.2500 0.2500 0.2500


11.
CePuTcHg, optimized geometry, DFT GGA-PBE; energy of formation = -118 meV per atom; offset from the most stable computed form = 0.000 eV per atom; final energy = -7.85 eV per atom
1.0
-1.6390 2.3217 1.6788
-2.2882 -2.2247 0.8425
4.4441 -1.9215 6.9961
Ce Hg Tc Pu
1 1 1 1
direct
0.5000 0.5000 0.7797
0.0000 0.0000 0.0756
0.0000 0.0000 0.5677
0.5000 0.5000 0.3617


12.
Li2Tl2Zn, optimized geometry, DFT GGA-PBE; energy of formation = -63 meV per atom; offset from the most stable computed form = 0.040 eV per atom; final energy = -2.03 eV per atom
1.0
-3.5763 3.6364 5.4149
-6.4764 -1.2459 -3.4407
-0.3914 -3.2165 1.9015
Li Tl Zn
4 4 2
direct
0.3606 0.8606 0.0000
0.6394 0.1394 0.0000
0.1394 0.3606 0.0000
0.8606 0.6394 0.0000
0.6648 0.8352 0.5000
0.8352 0.3352 0.5000
0.3352 0.1648 0.5000
0.1648 0.6648 0.5000
0.5000 0.5000 0.0000
0.0000 0.0000 0.0000